TlSn3Bi | Alexandria | PBE | relaxed; N(E_F) = 0.98 states/eV per atom; magnetic moment = 0.000 μB per formula unit; calculated formation energy = 3.172 eV/f.u.; energy above the most stable polymorph in this dataset = 2.91 eV/f.u.; DFT total energy = -3.017 eV/atom
1.0
5.959 0.000 0.000
0.000 5.959 0.000
0.000 0.000 5.959
Tl Sn Bi
1 3 1
Cartesian
0.000 0.000 0.000 Tl
0.000 2.980 2.980 Sn
2.980 0.000 2.980 Sn
2.980 2.980 0.000 Sn
2.980 2.980 2.980 Bi

***

NiSb2P | Alexandria | PBE | relaxed; N(E_F) = 0.64 states/eV per atom; magnetic moment = 0.000 μB per formula unit; ΔE_f (raw) = 1.28 kcal/mol of atoms; DFT total energy = -4.804 eV/atom
1.0
1.882 1.087 6.458
-1.882 1.087 6.458
0.000 -2.173 6.458
Ni Sb P
1 2 1
Cartesian
0.000 0.000 0.000 Ni
0.000 0.000 4.968 Sb
0.000 0.000 14.405 Sb
0.000 0.000 9.687 P

***

Cu7Pt4 | Alexandria | PBE | relaxed; N(E_F) = 0.57 states/eV per atom; magnetic moment = 0.000 μB per formula unit; calculated formation energy = -1.311 eV/f.u.; energy above the most stable polymorph in this dataset = 0.03 eV/f.u.; DFT total energy = -4.922 eV/atom
1.0
4.612 0.000 0.000
0.803 4.578 0.000
0.777 -0.049 7.027
Cu Pt
7 4
Cartesian
0.000 0.000 0.000 Cu
1.568 3.727 4.543 Cu
1.585 2.906 1.915 Cu
2.331 0.382 1.256 Cu
3.911 4.123 5.815 Cu
3.872 2.524 0.635 Cu
4.642 1.624 5.182 Cu
2.341 2.059 6.470 Pt
2.316 1.221 3.892 Pt
3.890 3.303 3.218 Pt
4.644 0.799 2.498 Pt

***

Pm3S3F | Alexandria | PBE | relaxed; N(E_F) = 0.27 states/eV per atom; magnetic moment = 0.000 μB per formula unit; ΔE_f (raw) = -47.55 kcal/mol of atoms; DFT total energy = -6.134 eV/atom
1.0
4.805 2.774 1.912
-4.805 2.774 1.912
0.000 -5.548 1.912
Pm S F
3 3 1
Cartesian
-2.108 -1.217 1.912 Pm
2.108 -1.217 1.912 Pm
0.000 2.434 1.912 Pm
-2.018 -1.165 4.811 S
2.018 -1.165 4.811 S
0.000 2.330 4.811 S
0.000 0.000 2.108 F

***

KBeAg2 | Alexandria | PBE | relaxed; N(E_F) = 0.43 states/eV per atom; magnetic moment = 0.000 μB per formula unit; calculated formation energy = 1.347 eV/f.u.; DFT total energy = -2.295 eV/atom
1.0
-2.732 2.732 7.688
2.732 -2.732 7.688
2.732 2.732 -7.688
K Be Ag
2 2 4
Cartesian
2.732 1.366 1.922 K
0.000 1.366 5.766 K
2.732 -1.366 5.766 Be
0.000 4.098 1.922 Be
0.000 0.000 0.000 Ag
1.366 1.366 -3.844 Ag
1.366 -1.366 3.844 Ag
0.000 2.732 0.000 Ag

***

Tb3AlBi | Alexandria | PBE | relaxed; N(E_F) = 0.81 states/eV per atom; magnetic moment = 0.000 μB per formula unit; calculated formation energy = -1.999 eV/f.u.; DFT total energy = -4.703 eV/atom
1.0
7.042 -6.430 0.000
7.042 6.430 0.000
-1.481 0.000 6.278
Tb Al Bi
12 4 4
Cartesian
4.424 4.072 6.043 Tb
4.034 2.557 2.455 Tb
3.119 0.808 5.672 Tb
7.440 4.072 3.373 Tb
3.860 -0.808 2.533 Tb
9.311 2.557 0.684 Tb
3.293 -2.557 5.594 Tb
8.745 0.808 3.745 Tb
5.164 -4.072 2.904 Tb
9.485 -0.808 0.606 Tb
8.571 -2.557 3.823 Tb
8.181 -4.072 0.234 Tb
5.932 1.456 4.708 Al
6.672 1.335 1.569 Al
5.932 -1.335 4.708 Al
6.672 -1.456 1.569 Al
1.022 0.910 3.230 Bi
1.762 -0.910 0.091 Bi
10.842 0.910 6.187 Bi
11.582 -0.910 3.048 Bi

***

RbAg3W | Alexandria | PBE | relaxed; N(E_F) = 0.52 states/eV per atom; magnetic moment = 4.079 μB per formula unit; calculated formation energy = 11.734 eV/f.u.; energy above the most stable polymorph in this dataset = 5.74 eV/f.u.; DFT total energy = -2.148 eV/atom
1.0
5.505 0.000 0.000
0.000 5.505 0.000
0.000 0.000 5.505
Rb Ag W
1 3 1
Cartesian
0.000 0.000 0.000 Rb
0.000 0.000 2.753 Ag
0.000 2.753 0.000 Ag
2.753 0.000 0.000 Ag
2.753 2.753 2.753 W

***

PrTm2In4 | Alexandria | PBE | relaxed; N(E_F) = 0.79 states/eV per atom; magnetic moment = 0.000 μB per formula unit; calculated formation energy = -2.036 eV/f.u.; energy above the most stable polymorph in this dataset = 0.00 eV/f.u.; DFT total energy = -3.816 eV/atom
1.0
5.190 0.000 0.000
0.000 5.190 0.000
0.000 0.000 7.569
Pr Tm In
1 2 4
Cartesian
0.000 0.000 0.000 Pr
0.000 0.000 3.784 Tm
2.595 2.595 0.000 Tm
0.000 2.595 2.103 In
0.000 2.595 5.466 In
2.595 0.000 2.103 In
2.595 0.000 5.466 In

***

ErZr2AlRu4 | Alexandria | PBE | relaxed; N(E_F) = 0.45 states/eV per atom; magnetic moment = 0.000 μB per formula unit; calculated formation energy = -4.674 eV/f.u.; DFT total energy = -8.397 eV/atom
1.0
2.288 1.321 7.488
-2.288 1.321 7.488
0.000 -2.642 7.488
Er Zr Al Ru
1 2 1 4
Cartesian
0.000 0.000 0.000 Er
0.000 0.000 5.488 Zr
0.000 0.000 16.976 Zr
0.000 0.000 11.232 Al
0.000 0.000 2.849 Ru
0.000 0.000 8.526 Ru
0.000 0.000 13.938 Ru
0.000 0.000 19.615 Ru

***

HfMgScTc | Alexandria | PBE | relaxed; N(E_F) = 0.95 states/eV per atom; magnetic moment = 0.000 μB per formula unit; calculated formation energy = -0.563 eV/f.u.; energy above the most stable polymorph in this dataset = 0.41 eV/f.u.; DFT total energy = -7.202 eV/atom
1.0
0.000 3.358 3.358
3.358 0.000 3.358
3.358 3.358 0.000
Hf Mg Sc Tc
1 1 1 1
Cartesian
0.000 0.000 0.000 Hf
1.679 1.679 1.679 Mg
3.358 3.358 3.358 Sc
5.037 5.037 5.037 Tc

***

LiV3Ru | Alexandria | PBE | relaxed; N(E_F) = 1.48 states/eV per atom; magnetic moment = 2.224 μB per formula unit; calculated formation energy = 5.695 eV/f.u.; energy above the most stable polymorph in this dataset = 0.71 eV/f.u.; DFT total energy = -6.570 eV/atom
1.0
4.068 0.000 0.000
0.000 4.068 0.000
0.000 0.000 4.068
Li V Ru
1 3 1
Cartesian
0.000 0.000 0.000 Li
0.000 0.000 2.034 V
0.000 2.034 0.000 V
2.034 0.000 0.000 V
2.034 2.034 2.034 Ru

***

La2CuOs | Alexandria | PBE | relaxed; N(E_F) = 0.70 states/eV per atom; magnetic moment = 0.000 μB per formula unit; calculated formation energy = -0.245 eV/f.u.; DFT total energy = -6.356 eV/atom
1.0
3.542 0.000 0.000
0.000 3.503 0.000
-0.014 0.000 7.662
La Cu Os
2 1 1
Cartesian
3.538 0.000 1.791 La
-0.011 0.000 5.871 La
1.764 1.752 3.831 Cu
1.771 1.752 0.000 Os

***

TlAsAu2 | Alexandria | PBE | relaxed; N(E_F) = 0.56 states/eV per atom; magnetic moment = 0.000 μB per formula unit; calculated formation energy = 0.320 eV/f.u.; DFT total energy = -3.313 eV/atom
1.0
1.955 1.129 7.051
-1.955 1.129 7.051
0.000 -2.258 7.051
Tl As Au
1 1 2
Cartesian
0.000 0.000 0.000 Tl
0.000 0.000 16.368 As
0.000 0.000 5.187 Au
0.000 0.000 10.550 Au

***

LaSc2Hg | Alexandria | PBE | relaxed; N(E_F) = 1.81 states/eV per atom; magnetic moment = 1.088 μB per formula unit; calculated formation energy = -0.262 eV/f.u.; DFT total energy = -4.539 eV/atom
1.0
0.000 3.747 3.747
3.747 0.000 3.747
3.747 3.747 0.000
La Sc Hg
1 2 1
Cartesian
0.000 0.000 0.000 La
1.874 1.874 1.874 Sc
3.747 3.747 3.747 Sc
5.621 5.621 5.621 Hg

***

ZrAg2PRh | Alexandria | PBE | relaxed; N(E_F) = 1.00 states/eV per atom; magnetic moment = 0.338 μB per formula unit; calculated formation energy = 1.169 eV/f.u.; DFT total energy = -5.169 eV/atom
1.0
4.669 0.000 0.000
0.000 4.669 0.000
0.000 0.000 4.436
Zr Ag P Rh
1 2 1 1
Cartesian
0.000 0.000 0.000 Zr
0.000 2.335 2.218 Ag
2.335 0.000 2.218 Ag
2.335 2.335 2.218 P
2.335 2.335 0.000 Rh

***

Pu2AlRe | Alexandria | PBE | relaxed; N(E_F) = 1.79 states/eV per atom; magnetic moment = 0.000 μB per formula unit; calculated formation energy = 1.412 eV/f.u.; energy above the most stable polymorph in this dataset = 0.08 eV/f.u.; DFT total energy = -10.861 eV/atom
1.0
2.554 0.000 0.000
0.000 2.554 0.000
0.000 0.000 10.147
Pu Al Re
2 1 1
Cartesian
0.000 0.000 2.479 Pu
0.000 0.000 7.668 Pu
1.277 1.277 0.000 Al
1.277 1.277 5.073 Re

***

Ac2CeSn4Pd3 | Alexandria | PBE | relaxed; N(E_F) = 0.86 states/eV per atom; magnetic moment = 0.654 μB per formula unit; calculated formation energy = -7.146 eV/f.u.; DFT total energy = -5.289 eV/atom
1.0
4.596 0.000 0.000
0.000 4.596 0.000
0.000 0.000 12.550
Ac Ce Sn Pd
2 1 4 3
Cartesian
0.000 2.298 2.842 Ac
2.298 0.000 9.708 Ac
0.000 0.000 6.275 Ce
0.000 0.000 0.000 Sn
0.000 2.298 8.323 Sn
2.298 0.000 4.227 Sn
2.298 2.298 0.000 Sn
0.000 2.298 11.022 Pd
2.298 0.000 1.527 Pd
2.298 2.298 6.275 Pd

***

ZnReGe3 | Alexandria | PBE | relaxed; N(E_F) = 0.73 states/eV per atom; magnetic moment = 0.000 μB per formula unit; calculated formation energy = 1.976 eV/f.u.; energy above the most stable polymorph in this dataset = 0.00 eV/f.u.; DFT total energy = -5.120 eV/atom
1.0
4.859 0.000 0.000
0.000 4.859 0.000
0.000 0.000 4.859
Zn Re Ge
1 1 3
Cartesian
0.000 0.000 0.000 Zn
2.429 2.429 2.429 Re
0.000 2.429 2.429 Ge
2.429 0.000 2.429 Ge
2.429 2.429 0.000 Ge

***

Ca3Ta3N5 | Alexandria | PBE | relaxed; N(E_F) = 0.22 states/eV per atom; magnetic moment = 0.000 μB per formula unit; ΔE_f (raw) = -21.69 kcal/mol of atoms; DFT total energy = -8.503 eV/atom
1.0
5.973 0.000 0.000
-2.083 7.810 0.000
-2.326 -3.580 7.240
Ca Ta N
6 6 10
Cartesian
-0.619 1.375 2.682 Ca
-0.795 -1.370 5.225 Ca
-0.872 6.890 0.717 Ca
2.436 -2.660 6.523 Ca
2.358 5.601 2.015 Ca
2.182 2.855 4.558 Ca
0.222 3.645 0.431 Ta
-0.429 4.637 3.157 Ta
-0.845 2.055 5.817 Ta
2.409 2.175 1.423 Ta
1.993 -0.406 4.083 Ta
1.342 0.585 6.809 Ta
-2.756 1.454 6.240 N
0.927 1.430 0.282 N
-1.377 3.438 4.411 N
0.556 -1.368 3.036 N
0.415 0.875 4.797 N
1.149 3.355 2.443 N
1.007 5.598 4.204 N
2.940 0.792 2.829 N
0.636 2.800 6.958 N
4.320 2.776 1.000 N

***

SiHgMo2 | Alexandria | PBE | relaxed; N(E_F) = 0.81 states/eV per atom; magnetic moment = 0.000 μB per formula unit; energy above the most stable polymorph in this dataset = 1.22 eV/f.u.; ΔE_f (raw) = 11.03 kcal/mol of atoms; DFT total energy = -6.368 eV/atom
1.0
2.805 -4.353 0.000
2.805 4.353 0.000
-0.812 0.000 2.698
Si Hg Mo
1 1 2
Cartesian
0.000 0.000 0.000 Si
2.805 0.000 0.000 Hg
0.997 2.177 1.349 Mo
0.997 -2.177 1.349 Mo

***

Ca3SbPd3 | Alexandria | PBE | relaxed; N(E_F) = 0.57 states/eV per atom; magnetic moment = 0.000 μB per formula unit; ΔE_f (raw) = -17.32 kcal/mol of atoms; DFT total energy = -4.423 eV/atom
1.0
2.188 -5.303 0.000
2.188 5.303 0.000
0.000 0.000 14.300
Ca Sb Pd
6 2 6
Cartesian
2.188 5.138 10.725 Ca
2.188 2.180 8.635 Ca
2.188 2.180 12.816 Ca
2.188 -2.180 1.485 Ca
2.188 -2.180 5.665 Ca
2.188 -5.138 3.575 Ca
0.000 0.000 0.000 Sb
0.000 0.000 7.150 Sb
2.188 2.435 3.575 Pd
2.188 0.887 1.351 Pd
2.188 0.887 5.799 Pd
2.188 -0.887 8.501 Pd
2.188 -0.887 12.950 Pd
2.188 -2.435 10.725 Pd

***

Ba2HgSe2 | Alexandria | PBE | relaxed; N(E_F) = 0.00 states/eV per atom; magnetic moment = 0.000 μB per formula unit; energy above the most stable polymorph in this dataset = 0.00 eV/f.u.; ΔE_f (raw) = -33.74 kcal/mol of atoms; DFT total energy = -3.686 eV/atom
1.0
9.111 0.000 0.000
0.000 9.111 0.000
0.000 0.000 4.163
Ba Hg Se
4 2 4
Cartesian
1.337 3.219 0.000 Ba
3.219 7.775 0.000 Ba
5.893 1.337 0.000 Ba
7.775 5.893 0.000 Ba
0.000 0.000 0.000 Hg
4.556 4.556 0.000 Hg
1.404 5.960 2.081 Se
3.151 1.404 2.081 Se
5.960 7.707 2.081 Se
7.707 3.151 2.081 Se

***

Sm6Ge3S2I | Alexandria | PBE | relaxed; N(E_F) = 0.18 states/eV per atom; magnetic moment = 0.000 μB per formula unit; ΔE_f (raw) = -29.56 kcal/mol of atoms; DFT total energy = -5.613 eV/atom
1.0
9.176 -2.115 0.000
9.176 2.115 0.000
-1.878 0.000 8.268
Sm Ge S I
6 3 2 1
Cartesian
-0.471 0.000 2.288 Sm
4.203 0.000 7.539 Sm
5.335 0.000 3.422 Sm
11.140 0.000 4.846 Sm
12.272 0.000 0.729 Sm
16.945 0.000 5.980 Sm
1.414 0.000 6.882 Ge
8.237 0.000 4.134 Ge
15.061 0.000 1.386 Ge
2.466 0.000 2.772 S
14.009 0.000 5.496 S
9.176 0.000 0.000 I

***

TmSi3Ni3 | Alexandria | PBE | relaxed; N(E_F) = 0.60 states/eV per atom; magnetic moment = 0.000 μB per formula unit; ΔE_f (raw) = -5.34 kcal/mol of atoms; DFT total energy = -5.672 eV/atom
1.0
6.185 0.000 0.000
0.000 6.185 0.000
0.000 0.000 6.185
Tm Si Ni
2 6 6
Cartesian
0.000 0.000 0.000 Tm
3.092 3.092 3.092 Tm
0.000 1.546 3.092 Si
0.000 4.638 3.092 Si
1.546 3.092 0.000 Si
3.092 0.000 1.546 Si
3.092 0.000 4.638 Si
4.638 3.092 0.000 Si
0.000 3.092 1.546 Ni
0.000 3.092 4.638 Ni
1.546 0.000 3.092 Ni
3.092 1.546 0.000 Ni
3.092 4.638 0.000 Ni
4.638 0.000 3.092 Ni

***

SbOsCl2 | Alexandria | PBE | relaxed; N(E_F) = 0.87 states/eV per atom; magnetic moment = 0.015 μB per formula unit; energy above the most stable polymorph in this dataset = 4.70 eV/f.u.; ΔE_f (raw) = 27.60 kcal/mol of atoms; DFT total energy = -3.565 eV/atom
1.0
4.711 0.000 0.000
0.000 4.711 0.000
0.000 0.000 3.375
Sb Os Cl
1 1 2
Cartesian
0.000 0.000 0.000 Sb
2.355 2.355 0.000 Os
0.000 2.355 1.688 Cl
2.355 0.000 1.688 Cl